Here is Np2Ga3Si after structural relaxation from Alexandria via LeMat-Bulk. Energies are from GGA-PBE.

## Properties
ρ	11.711	g cm⁻³
M_tot	0.0	μB/f.u.
total energy	-6.801	eV per atom
raw formation energy	-0.42	eV per formula unit

Unit cell a=2.505 b=4.552 c=8.845 alpha=90.00 beta=90.00 gamma=90.00
Atoms (fractional coordinates):
Np: 0.000 0.500 0.008
Np: 0.000 0.000 0.490
Ga: 0.500 0.000 0.829
Ga: 0.500 0.000 0.173
Ga: 0.500 0.500 0.671
Si: 0.500 0.500 0.328